KRbAgF6, optimized geometry, DFT PBE; energy relative to the elements, uncorrected = -1.81 eV/atom; crystal system = monoclinic; E = -3.604 eV per atom; magnetic moment = 1.04 μB per formula unit
1.0
6.092 0.107 -0.045
3.134 5.225 -0.042
-0.033 -0.022 4.878
F Ag Rb K
6 1 1 1
direct
0.166 0.649 0.330
0.158 0.160 0.329
0.017 0.501 0.777
0.511 0.511 0.776
0.648 0.167 0.329
0.501 0.016 0.776
0.334 0.334 0.555
0.006 0.005 0.839
0.659 0.659 0.289